First-principles (PBE) data for a geometry-optimized Rb2In2I7 structure, as listed in Alexandria via LeMat-Bulk.

abc: 12.297 14.890 7.328
angles: 90.00 102.11 90.00
Space group C2/m (No. 12)
Inequivalent atoms, fractional coordinates:
Rb (0.000, 0.207, 0.000) x4
In (0.223, 0.500, 0.412) x4
I (0.000, 0.500, 0.500) x2
I (0.106, 0.000, 0.263) x4
I (0.246, 0.342, 0.205) x8

* density of states at the Fermi level: 9.0 states/eV per cell
* ΔE_f (raw): -825.6 meV per atom
* energy relative to the lowest polymorph listed for this composition: 3 meV per atom
* electronic total energy: -2.49 eV per atom
* theoretical density: 3.263 Mg/m³

First-principles (PBE) data for a geometry-optimized HfScAg2 structure, as listed in Alexandria via LeMat-Bulk.

abc: 7.712 7.712 5.711
angles: 90.00 90.00 90.00
Space group I-42d (No. 122)
Inequivalent atoms, fractional coordinates:
Hf (0.000, 0.000, 0.000) x4
Sc (0.000, 0.000, 0.500) x4
Ag (0.247, 0.250, 0.125) x8

* density of states at the Fermi level: 15.6 states/eV per cell
* energy relative to the lowest polymorph listed for this composition: 403 meV per atom
* energy of formation: 0.326 eV per atom
* electronic total energy: -5.17 eV per atom
* theoretical density: 8.588 Mg/m³

First-principles (PBE) data for a geometry-optimized Tl5Cu2F12 structure, as listed in Alexandria via LeMat-Bulk.

abc: 14.117 6.592 7.594
angles: 90.00 108.23 90.00
Space group C2/m (No. 12)
Inequivalent atoms, fractional coordinates:
Tl (0.000, 0.000, 0.000) x2
Tl (0.192, 0.500, 0.875) x4
Tl (0.194, 0.500, 0.342) x4
Cu (0.000, 0.247, 0.500) x4
F (0.001, 0.000, 0.682) x4
F (0.001, 0.500, 0.671) x4
F (0.119, 0.222, 0.070) x8
F (0.142, 0.251, 0.579) x8

* density of states at the Fermi level: 18.0 states/eV per cell
* ΔE_f (raw): -1702.6 meV per atom
* electronic total energy: -3.94 eV per atom
* theoretical density: 6.812 Mg/m³

First-principles (PBE) data for a geometry-optimized SnPb2Au3 structure, as listed in Alexandria via LeMat-Bulk.

abc: 13.708 7.886 5.656
angles: 90.00 90.00 90.00
Space group Cmcm (No. 63)
Inequivalent atoms, fractional coordinates:
Sn (0.000, 0.182, 0.250) x4
Pb (0.174, 0.340, 0.750) x8
Au (0.000, 0.500, 0.000) x4
Au (0.150, 0.000, 0.000) x8

* density of states at the Fermi level: 10.7 states/eV per cell
* energy of formation: -0.120 eV per atom
* electronic total energy: -3.66 eV per atom
* theoretical density: 12.211 Mg/m³